# 1
Material: Mg3ReCl
Method: DFT, PBE-GGA
State: relaxed

Cell lengths 4.645, 4.645, 4.645 Å; angles 90.00, 90.00, 90.00 degrees
Element x y z (fractional)
Re 0.500 0.500 0.500
Mg 0.000 0.500 0.000
Mg 0.000 0.000 0.500
Mg 0.500 0.000 0.000
Cl 0.000 0.000 0.000

total magnetization: 0.000 μB per atom
formation energy from raw total energies: 0.733 eV per atom
symmetry: Pm-3m (221)

***

# 2
Material: MgReCl2
Method: DFT, PBE-GGA
State: relaxed

Cell lengths 2.921, 2.921, 11.119 Å; angles 90.00, 90.00, 90.00 degrees
Element x y z (fractional)
Cl 0.000 0.000 0.388
Cl 0.000 0.000 0.112
Mg 0.500 0.500 0.250
Re 0.500 0.500 0.750

total magnetization: 0.341 μB per atom
formation energy from raw total energies: 0.289 eV per atom
symmetry: P4/mmm (123)